Compound: Cs3Cr5O12
Source: Alexandria via LeMat-Bulk
Functional: PBE+U
Structure: relaxed

The space group is Ia-3d (No. 230) and the conventional cell measures 13.4478, 13.4478 and 13.4478 Å, with angles of 90.00, 90.00 and 90.00 degrees. Symmetry generates all atoms from Cs at (0.0000, 0.2500, 0.1250), Cr at (0.0000, 0.0000, 0.0000), Cr at (0.0000, 0.2500, 0.3750) and O at (0.0310, 0.1484, 0.9496).

The crystal system is cubic. The magnetic moment comes out at 9.0 μB per formula unit. Its raw total energy is -6.388 eV/atom.